Here is crystalline SmEr5S6 at its relaxed geometry from the Alexandria database. Energies are from PBE.

Results
Its total magnetization is 0.00 μB/f.u. As for the formation energy from raw total energies: -1.967 eV per atom. The crystal system is monoclinic. Its density of states at the Fermi level is 4.11 states/eV/cell.

a = 6.722 Å, b = 6.735 Å, c = 6.747 Å
α = 60.05°, β = 80.33°, γ = 70.34°
Fractional coordinates of all 12 atoms:
Er  0.500  0.500  0.000
Er  0.500  0.838  0.325
Er  0.500  0.162  0.675
Er  0.000  0.335  0.331
Er  0.000  0.665  0.669
S  0.255  0.573  0.342
S  0.252  0.257  0.000
S  0.745  0.427  0.658
S  0.745  0.085  0.342
S  0.255  0.915  0.658
S  0.748  0.743  0.000
Sm  0.000  0.000  0.000